## CoRuIO2 (PBE+U)

Data for an optimized crystal structure of CoRuIO2.

abc: 3.729 3.729 6.782
angles: 90.00 90.00 90.00
Element x y z (fractional)
Co 0.000 0.000 0.000
Ru 0.500 0.500 0.500
I 0.000 0.000 0.500
O 0.000 0.500 0.000
O 0.500 0.000 0.000

Summary:
VASP energy	-4.78	eV/atom
space-group type	P4/mmm, No. 123
M_tot	5.76	Bohr magnetons per cell